No. 1
# Ba2NiH6Au PBE optimized geometry
data_Ba2NiH6Au
_cell_length_a 8.0468
_cell_length_b 8.0885
_cell_length_c 8.1604
_cell_angle_alpha 90.00
_cell_angle_beta 90.00
_cell_angle_gamma 90.00
_space_group_name_H-M_alt 'F m m m'
_space_group_IT_number 69
_space_group_name_Hall '-F 2 2'
loop_
_atom_site_label
_atom_site_type_symbol
_atom_site_fract_x
_atom_site_fract_y
_atom_site_fract_z
_atom_site_occupancy
Ba1 Ba 0.2500 0.2500 0.2500 1
Ni1 Ni 0.0000 0.0000 0.0000 1
H1 H 0.0000 0.0000 0.1986 1
H2 H 0.0000 0.2006 0.0000 1
H3 H 0.2005 0.0000 0.0000 1
Au1 Au 0.0000 0.0000 0.5000 1
# E_tot in hartree per atom: -0.136
# Theoretical density in g/cm3: 6.7


No. 2
# BaH2AuO4 PBE optimized geometry
data_BaH2AuO4
_cell_length_a 5.0429
_cell_length_b 5.9613
_cell_length_c 7.3453
_cell_angle_alpha 90.00
_cell_angle_beta 90.00
_cell_angle_gamma 90.00
_space_group_name_H-M_alt 'I 2 2 2'
_space_group_IT_number 23
loop_
_space_group_symop_operation_xyz
'x,y,z'
'-x,-y,z'
'x,-y,-z'
'-x,y,-z'
'x+1/2,y+1/2,z+1/2'
'-x+1/2,-y+1/2,z+1/2'
'x+1/2,-y+1/2,-z+1/2'
'-x+1/2,y+1/2,-z+1/2'
loop_
_atom_site_label
_atom_site_type_symbol
_atom_site_fract_x
_atom_site_fract_y
_atom_site_fract_z
_atom_site_occupancy
Ba1 Ba 0.0000 0.0000 0.0000 1
H1 H 0.0000 0.5000 0.1718 1
Au1 Au 0.0000 0.0000 0.5000 1
O1 O 0.2233 0.4336 0.8126 1
# E_tot in hartree per atom: -0.182
# Theoretical density in g/cm3: 6.0


No. 3
# Ba2HPdAu PBE optimized geometry
data_Ba2HPdAu
_cell_length_a 5.6596
_cell_length_b 5.6596
_cell_length_c 3.9687
_cell_angle_alpha 90.00
_cell_angle_beta 90.00
_cell_angle_gamma 90.00
_space_group_name_H-M_alt 'P 4/m m m'
_space_group_IT_number 123
_space_group_name_Hall '-P 4 2'
loop_
_atom_site_label
_atom_site_type_symbol
_atom_site_fract_x
_atom_site_fract_y
_atom_site_fract_z
_atom_site_occupancy
Ba1 Ba 0.0000 0.5000 0.0000 1
H1 H 0.0000 0.0000 0.0000 1
Pd1 Pd 0.5000 0.5000 0.5000 1
Au1 Au 0.0000 0.0000 0.5000 1
# E_tot in hartree per atom: -0.133
# Theoretical density in g/cm3: 7.6
# Offset from the most stable computed form in kcal/mol of atoms: 2.247